Hf2Mg3CrN6 | PBE | relaxed

The structure belongs to space group C2/m (No. 12); the cell edges are 13.601, 3.133 and 6.226 Å and the angles 90.00°, 103.73° and 90.00°. The asymmetric unit holds Hf at (0.163, 0.000, 0.323), Mg at (0.000, 0.500, 0.500), Mg at (0.163, 0.000, 0.832), Cr at (0.000, 0.500, 0.000), N at (0.001, 0.000, 0.227), N at (0.159, 0.500, 0.082) and N at (0.168, 0.500, 0.576).

As for the calculated volume: 10.7 Å³/atom. The value obtained for the uncorrected formation energy is -1148 meV per atom.